(1)
DFT (PBE) results for a relaxed Ta2TiCu crystal.

extended XYZ file:
```
4
Lattice="-1.7528 1.3537 3.9290 -3.5151 -2.1970 1.7775 0.5515 -2.5168 3.7018" Properties=species:S:1:pos:R:3 pbc="T T T"
Cu -2.3582 -1.6801 4.7042
Ta -3.5373 -2.5201 7.0563
Ta -1.1791 -0.8400 2.3521
Ti 0.0000 0.0000 0.0000
```

Summary:
* size of the total moment: 0.0 μB per formula unit
* final energy: -8.698 eV per atom
* ΔH_f (0 K): 0.226 eV/atom
* symmetry: Fm-3m (225)


(2)
DFT (PBE) results for a relaxed TaTi2Cu2 crystal.

extended XYZ file:
```
10
Lattice="7.3187 0.0000 0.0000 0.0000 7.3187 0.0000 0.0000 0.0000 2.8892" Properties=species:S:1:pos:R:3 pbc="T T T"
Cu 4.6476 6.3304 1.4446
Cu 2.6711 0.9883 1.4446
Cu 0.9883 4.6476 1.4446
Cu 6.3304 2.6711 1.4446
Ta 3.6593 3.6593 0.0000
Ti 4.8261 1.1667 0.0000
Ti 2.4926 6.1520 0.0000
Ti 6.1520 4.8261 0.0000
Ta 0.0000 0.0000 0.0000
Ti 1.1667 2.4926 0.0000
```

Summary:
* size of the total moment: 1.1 μB per formula unit
* final energy: -7.008 eV per atom
* ΔH_f (0 K): 0.159 eV/atom
* symmetry: P4/mbm (127)


(3)
DFT (PBE) results for a relaxed TaTi3Cu crystal.

extended XYZ file:
```
5
Lattice="-0.4887 3.4710 3.2705 -4.6190 0.4738 -1.1930 -1.1870 -3.2727 3.2959" Properties=species:S:1:pos:R:3 pbc="T T T"
Ti -2.3095 0.2369 -0.5965
Ti -0.5935 -1.6364 1.6480
Ti -0.2443 1.7355 1.6353
Cu -3.1474 0.3361 2.6867
Ta 0.0000 0.0000 0.0000
```

Summary:
* size of the total moment: 0.0 μB per formula unit
* final energy: -6.688 eV per atom
* ΔH_f (0 K): 1.239 eV/atom
* symmetry: Pm-3m (221)


(4)
DFT (PBE) results for a relaxed Ta2TiCu crystal.

extended XYZ file:
```
8
Lattice="7.2477 0.0000 0.0000 0.0000 7.2477 0.0000 3.6239 3.6239 2.6586" Properties=species:S:1:pos:R:3 pbc="T T T"
Ti 3.6239 3.6239 0.0000
Ta 5.6026 1.8119 0.6647
Ta 9.0597 9.2265 1.9940
Ta 5.4358 5.2690 1.9940
Ti 3.6239 7.2477 1.3293
Ta 1.6452 5.4358 0.6647
Cu 7.2477 3.6239 1.3293
Cu 0.0000 0.0000 0.0000
```

Summary:
* size of the total moment: 0.0 μB per formula unit
* final energy: -8.396 eV per atom
* ΔH_f (0 K): 0.528 eV/atom
* symmetry: I-42d (122)


(5)
DFT (PBE) results for a relaxed Ta2TiCu crystal.

extended XYZ file:
```
4
Lattice="-1.9714 0.9671 3.4133 -2.1117 -3.4136 -0.2524 2.8107 -1.8986 2.1613" Properties=species:S:1:pos:R:3 pbc="T T T"
Ta 1.4054 -0.9493 1.0806
Ta -1.0558 -1.7068 -0.1262
Ti -0.6362 -2.1725 2.6611
Cu -0.9857 0.4836 1.7067
```

Summary:
* size of the total moment: 0.0 μB per formula unit
* final energy: -8.836 eV per atom
* ΔH_f (0 K): 0.088 eV/atom
* symmetry: P4/mmm (123)


(6)
DFT (PBE) results for a relaxed TaTi2Cu2 crystal.

extended XYZ file:
```
5
Lattice="-2.4823 -0.0421 -1.4659 0.7418 -3.5681 -1.1538 -2.9334 -4.3037 5.0909" Properties=species:S:1:pos:R:3 pbc="T T T"
Ta 0.0000 0.0000 0.0000
Cu -1.6184 -3.3010 2.8354
Ti -3.0301 -5.5190 2.4543
Cu -0.5732 -4.5708 1.1018
Ti -1.6438 -2.3949 0.0169
```

Summary:
* size of the total moment: 0.0 μB per formula unit
* final energy: -7.148 eV per atom
* ΔH_f (0 K): 0.019 eV/atom
* symmetry: Cmmm (65)